This record from Alexandria describes crystalline Rb3ScPa2O9 at its relaxed geometry. The functional is GGA-PBE.

Lattice parameters (Å, degrees): 6.1614 6.1614 7.5023 90.00 90.00 120.00
Space group P-3m1 (No. 164)
Inequivalent atoms, fractional coordinates:
Rb 0.0000 0.0000 0.0000 (multiplicity 1)
Rb 0.3333 0.6667 0.6642 (multiplicity 2)
Sc 0.0000 0.0000 0.5000 (multiplicity 1)
Pa 0.3333 0.6667 0.1763 (multiplicity 2)
O 0.0000 0.5000 0.0000 (multiplicity 3)
O 0.1668 0.3336 0.3379 (multiplicity 6)

crystal system = trigonal
energy relative to the elements, uncorrected = -2.711 eV/atom
total magnetization = 2.10 μB/f.u.
total DFT energy (no corrections) = -7.57 eV per atom
mass density = 6.1 g cm⁻³